This record from Alexandria via LeMat-Bulk describes Ce2CdGa2Pd5 after structural relaxation. The functional is GGA-PBE.

## Properties
formation enthalpy at 0 K	-13.65	kcal/mol of atoms
VASP energy	-5.07	eV per atom
density	9.25	g/cm³
D(E_F)	15.7	states/eV/f.u.

Structure (CIF):
```
data_Ce2CdGa2Pd5
_chemical_formula_sum 'Ce4 Cd2 Ga4 Pd10'
_cell_length_a 10.423
_cell_length_b 10.423
_cell_length_c 3.515
_cell_angle_alpha 90.00
_cell_angle_beta 90.00
_cell_angle_gamma 90.00
_space_group_name_H-M_alt 'P 4/m b m'
_space_group_IT_number 127
_space_group_name_Hall '-P 4 2ab'
loop_
_atom_site_label
_atom_site_fract_x
_atom_site_fract_y
_atom_site_fract_z
_atom_site_occupancy
Ce1 0.177 0.323 0.000 1
Cd1 0.000 0.000 0.000 1
Ga1 0.124 0.624 0.000 1
Pd1 0.000 0.500 0.500 1
Pd2 0.055 0.791 0.500 1
```